## one
Pm3Dy2Ho6 | GGA-PBE | optimized geometry

a = 4.738 Å, b = 4.738 Å, c = 16.929 Å
α = 98.04°, β = 98.04°, γ = 90.00°
Fractional coordinates of all 11 atoms:
Pm: 0.000 0.000 0.000
Pm: 0.203 0.203 0.405
Pm: 0.797 0.797 0.595
Ho: 0.879 0.379 0.759
Ho: 0.121 0.621 0.241
Ho: 0.621 0.121 0.241
Ho: 0.306 0.306 0.613
Ho: 0.694 0.694 0.387
Ho: 0.379 0.879 0.759
Dy: 0.546 0.546 0.092
Dy: 0.454 0.454 0.908

## Properties
Calculated volume in Å³/cell: 373
Density of states at the Fermi level in states/eV/f.u.: 17.04
SG: I4/mmm


## two
Pm3Dy2Ho6 | GGA-PBE | optimized geometry

a = 5.680 Å, b = 6.672 Å, c = 11.878 Å
α = 78.29°, β = 61.53°, γ = 64.81°
Fractional coordinates of all 11 atoms:
Ho: 0.152 0.302 0.698
Ho: 0.453 0.698 0.698
Ho: 0.288 0.000 0.211
Ho: 0.547 0.302 0.302
Ho: 0.712 0.000 0.789
Ho: 0.848 0.698 0.302
Pm: 0.706 0.587 0.000
Pm: 0.000 0.000 0.000
Pm: 0.294 0.413 0.000
Dy: 0.133 0.734 0.500
Dy: 0.867 0.266 0.500

## Properties
Calculated volume in Å³/cell: 358
Density of states at the Fermi level in states/eV/f.u.: 16.55
SG: C2/m


According to the calculations, the structures order from most to least stable as two, one.


## one
Pm2DyHo | GGA-PBE | optimized geometry

a = 3.609 Å, b = 3.609 Å, c = 11.818 Å
α = 81.22°, β = 81.22°, γ = 60.00°
Fractional coordinates of all 4 atoms:
Pm: 0.250 0.250 0.251
Pm: 0.083 0.083 0.750
Dy: 0.500 0.500 0.500
Ho: 0.667 0.667 0.999

## Properties
Calculated volume in Å³/cell: 131
Density of states at the Fermi level in states/eV/f.u.: 5.63
SG: R3m


## two
Pm2DyHo | GGA-PBE | optimized geometry

a = 5.716 Å, b = 5.716 Å, c = 5.716 Å
α = 60.00°, β = 60.00°, γ = 60.00°
Fractional coordinates of all 4 atoms:
Dy: 0.500 0.500 0.500
Pm: 0.250 0.250 0.250
Pm: 0.750 0.750 0.750
Ho: 0.000 0.000 0.000

## Properties
Calculated volume in Å³/cell: 132
Density of states at the Fermi level in states/eV/f.u.: 8.40
SG: Fm-3m


According to the calculations, the structures order from most to least stable as one, two.


## one
Pm2DyHo | GGA-PBE | optimized geometry

a = 3.594 Å, b = 3.594 Å, c = 11.845 Å
α = 81.27°, β = 81.27°, γ = 60.00°
Fractional coordinates of all 4 atoms:
Ho: 0.000 0.000 0.000
Pm: 0.250 0.250 0.249
Pm: 0.750 0.750 0.751
Dy: 0.500 0.500 0.500

## Properties
Calculated volume in Å³/cell: 130
Density of states at the Fermi level in states/eV/f.u.: 4.63
SG: R-3m


## two
Pm2DyHo | GGA-PBE | optimized geometry

a = 5.046 Å, b = 5.092 Å, c = 5.092 Å
α = 90.00°, β = 90.00°, γ = 90.00°
Fractional coordinates of all 4 atoms:
Dy: 0.500 0.000 0.000
Pm: 0.000 0.000 0.500
Pm: 0.000 0.500 0.000
Ho: 0.500 0.500 0.500

## Properties
Calculated volume in Å³/cell: 131
Density of states at the Fermi level in states/eV/f.u.: 6.28
SG: P4/mmm


According to the calculations, the structures order from most to least stable as one, two.


## one
PmDy5Ho3 | GGA-PBE | optimized geometry

a = 9.288 Å, b = 9.288 Å, c = 12.787 Å
α = 51.43°, β = 51.43°, γ = 50.81°
Fractional coordinates of all 18 atoms:
Dy: 0.630 0.630 0.071
Dy: 0.558 0.558 0.567
Dy: 0.370 0.370 0.929
Dy: 0.509 0.921 0.220
Dy: 0.079 0.491 0.780
Dy: 0.491 0.079 0.780
Dy: 0.921 0.509 0.220
Dy: 0.320 0.680 0.000
Dy: 0.680 0.320 0.000
Dy: 0.442 0.442 0.433
Ho: 0.000 0.000 0.000
Ho: 0.833 0.833 0.340
Ho: 0.696 0.696 0.684
Ho: 0.000 0.000 0.500
Ho: 0.167 0.167 0.660
Ho: 0.304 0.304 0.316
Pm: 0.106 0.106 0.130
Pm: 0.894 0.894 0.870

## Properties
Calculated volume in Å³/cell: 619
Density of states at the Fermi level in states/eV/f.u.: 13.53
SG: C2/m


## two
PmDy5Ho3 | GGA-PBE | optimized geometry

a = 6.160 Å, b = 9.153 Å, c = 11.218 Å
α = 90.54°, β = 90.00°, γ = 109.66°
Fractional coordinates of all 18 atoms:
Ho: 0.105 0.671 0.083
Ho: 0.434 0.329 0.417
Ho: 0.000 0.000 0.500
Ho: 0.566 0.671 0.583
Ho: 0.895 0.329 0.917
Ho: 0.000 0.000 0.000
Pm: 0.119 0.000 0.250
Pm: 0.881 0.000 0.750
Dy: 0.110 0.672 0.419
Dy: 0.032 0.650 0.751
Dy: 0.968 0.350 0.249
Dy: 0.382 0.350 0.749
Dy: 0.438 0.328 0.081
Dy: 0.405 0.000 0.750
Dy: 0.890 0.328 0.581
Dy: 0.618 0.650 0.251
Dy: 0.595 0.000 0.250
Dy: 0.562 0.672 0.919

## Properties
Calculated volume in Å³/cell: 596
Density of states at the Fermi level in states/eV/f.u.: 13.42
SG: C2/c


According to the calculations, the structures order from most to least stable as two, one.


## one
Pm2Dy5Ho2 | GGA-PBE | optimized geometry

a = 5.783 Å, b = 8.707 Å, c = 9.437 Å
α = 40.54°, β = 72.16°, γ = 70.61°
Fractional coordinates of all 9 atoms:
Ho: 0.103 0.315 0.479
Ho: 0.897 0.685 0.521
Pm: 0.437 0.336 0.790
Pm: 0.563 0.664 0.210
Dy: 0.681 0.999 0.639
Dy: 0.000 0.000 0.000
Dy: 0.319 0.001 0.361
Dy: 0.791 0.344 0.074
Dy: 0.209 0.656 0.926

## Properties
Calculated volume in Å³/cell: 290
Density of states at the Fermi level in states/eV/f.u.: 17.77
SG: C2/m


## two
Pm2Dy5Ho2 | GGA-PBE | optimized geometry

a = 11.758 Å, b = 6.727 Å, c = 10.064 Å
α = 109.52°, β = 125.74°, γ = 90.00°
Fractional coordinates of all 18 atoms:
Ho: 0.262 0.357 0.500
Ho: 0.738 0.857 0.500
Ho: 0.500 0.518 0.000
Ho: 0.000 0.018 0.000
Pm: 0.628 0.185 0.254
Pm: 0.126 0.685 0.254
Pm: 0.874 0.431 0.746
Pm: 0.372 0.931 0.746
Dy: 0.593 0.242 0.714
Dy: 0.195 0.155 0.896
Dy: 0.200 0.655 0.896
Dy: 0.379 0.029 0.286
Dy: 0.805 0.260 0.104
Dy: 0.997 0.158 0.500
Dy: 0.003 0.658 0.500
Dy: 0.800 0.760 0.104
Dy: 0.407 0.529 0.286
Dy: 0.621 0.742 0.714

## Properties
Calculated volume in Å³/cell: 589
Density of states at the Fermi level in states/eV/f.u.: 14.42
SG: Ima2


According to the calculations, the structures order from most to least stable as one, two.


## one
Pm2Dy4Ho5 | GGA-PBE | optimized geometry

a = 3.489 Å, b = 9.017 Å, c = 12.541 Å
α = 111.07°, β = 98.00°, γ = 90.00°
Fractional coordinates of all 11 atoms:
Dy: 0.597 0.597 0.194
Dy: 0.000 0.692 0.000
Dy: 0.000 0.308 0.000
Dy: 0.403 0.403 0.806
Ho: 0.142 0.338 0.285
Ho: 0.858 0.662 0.715
Ho: 0.858 0.053 0.715
Ho: 0.500 0.000 0.000
Ho: 0.142 0.947 0.285
Pm: 0.268 0.268 0.536
Pm: 0.732 0.732 0.464

## Properties
Calculated volume in Å³/cell: 364
Density of states at the Fermi level in states/eV/f.u.: 16.30
SG: Immm


## two
Pm2Dy4Ho5 | GGA-PBE | optimized geometry

a = 3.551 Å, b = 9.400 Å, c = 11.779 Å
α = 106.48°, β = 81.39°, γ = 112.21°
Fractional coordinates of all 11 atoms:
Dy: 0.315 0.362 0.092
Dy: 0.772 0.454 0.364
Dy: 0.228 0.546 0.636
Dy: 0.685 0.638 0.908
Ho: 0.500 0.000 0.000
Ho: 0.956 0.092 0.273
Ho: 0.044 0.908 0.727
Ho: 0.410 0.182 0.544
Ho: 0.590 0.818 0.456
Pm: 0.137 0.729 0.183
Pm: 0.863 0.271 0.817

## Properties
Calculated volume in Å³/cell: 349
Density of states at the Fermi level in states/eV/f.u.: 14.41
SG: P-1


According to the calculations, the structures order from most to least stable as two, one.


## one
Pm7Dy2Ho2 | GGA-PBE | optimized geometry

a = 5.649 Å, b = 8.181 Å, c = 9.445 Å
α = 115.66°, β = 107.40°, γ = 90.00°
Fractional coordinates of all 11 atoms:
Pm: 0.866 0.193 0.733
Pm: 0.663 0.787 0.327
Pm: 0.134 0.460 0.267
Pm: 0.865 0.783 0.730
Pm: 0.500 0.919 0.000
Pm: 0.135 0.053 0.270
Pm: 0.337 0.460 0.673
Dy: 0.701 0.323 0.401
Dy: 0.299 0.921 0.599
Ho: 0.000 0.622 0.000
Ho: 0.500 0.335 0.000

## Properties
Calculated volume in Å³/cell: 371
Density of states at the Fermi level in states/eV/f.u.: 16.21
SG: Imm2


## two
Pm7Dy2Ho2 | GGA-PBE | optimized geometry

a = 8.218 Å, b = 6.954 Å, c = 6.954 Å
α = 78.38°, β = 78.39°, γ = 78.39°
Fractional coordinates of all 11 atoms:
Pm: 0.180 0.477 0.082
Pm: 0.552 0.264 0.264
Pm: 0.448 0.736 0.736
Pm: 0.820 0.918 0.523
Pm: 0.000 0.000 0.000
Pm: 0.820 0.523 0.918
Pm: 0.180 0.082 0.477
Ho: 0.500 0.790 0.210
Ho: 0.500 0.210 0.790
Dy: 0.189 0.550 0.550
Dy: 0.811 0.450 0.450

## Properties
Calculated volume in Å³/cell: 376
Density of states at the Fermi level in states/eV/f.u.: 13.32
SG: C2/m


According to the calculations, the structures order from most to least stable as one, two.


## one
Pm2Dy5Ho4 | GGA-PBE | optimized geometry

a = 3.553 Å, b = 9.405 Å, c = 11.784 Å
α = 106.50°, β = 81.39°, γ = 112.21°
Fractional coordinates of all 11 atoms:
Dy: 0.590 0.817 0.456
Dy: 0.410 0.183 0.544
Dy: 0.956 0.093 0.273
Dy: 0.044 0.907 0.727
Dy: 0.500 0.000 0.000
Ho: 0.772 0.454 0.364
Ho: 0.228 0.546 0.636
Ho: 0.684 0.637 0.907
Ho: 0.316 0.363 0.093
Pm: 0.137 0.728 0.182
Pm: 0.863 0.272 0.818

## Properties
Calculated volume in Å³/cell: 349
Density of states at the Fermi level in states/eV/f.u.: 14.36
SG: P-1


## two
Pm2Dy5Ho4 | GGA-PBE | optimized geometry

a = 6.641 Å, b = 8.892 Å, c = 10.162 Å
α = 40.18°, β = 70.93°, γ = 68.07°
Fractional coordinates of all 11 atoms:
Dy: 0.175 0.270 0.906
Dy: 0.351 0.730 0.094
Dy: 0.825 0.730 0.094
Dy: 0.649 0.270 0.906
Dy: 0.000 0.500 0.500
Ho: 0.756 0.681 0.806
Ho: 0.588 0.230 0.594
Ho: 0.244 0.319 0.194
Ho: 0.412 0.770 0.406
Pm: 0.200 0.897 0.702
Pm: 0.800 0.103 0.298

## Properties
Calculated volume in Å³/cell: 358
Density of states at the Fermi level in states/eV/f.u.: 16.52
SG: C2/m


According to the calculations, the structures order from most to least stable as one, two.


## one
PmDy4Ho6 | GGA-PBE | optimized geometry

a = 7.624 Å, b = 7.624 Å, c = 8.436 Å
α = 116.86°, β = 116.86°, γ = 90.00°
Fractional coordinates of all 11 atoms:
Pm: 0.500 0.500 0.000
Ho: 0.500 0.000 0.000
Ho: 0.000 0.500 0.000
Ho: 0.069 0.069 0.629
Ho: 0.560 0.560 0.629
Ho: 0.931 0.440 0.371
Ho: 0.440 0.931 0.371
Dy: 0.090 0.757 0.847
Dy: 0.757 0.090 0.847
Dy: 0.910 0.910 0.153
Dy: 0.243 0.243 0.153

## Properties
Calculated volume in Å³/cell: 377
Density of states at the Fermi level in states/eV/f.u.: 15.46
SG: I-42m


## two
PmDy4Ho6 | GGA-PBE | optimized geometry

a = 5.684 Å, b = 5.575 Å, c = 25.601 Å
α = 90.00°, β = 90.00°, γ = 120.65°
Fractional coordinates of all 22 atoms:
Dy: 0.842 0.685 0.542
Dy: 0.473 0.945 0.379
Dy: 0.158 0.315 0.042
Dy: 0.527 0.055 0.879
Dy: 0.527 0.055 0.621
Dy: 0.473 0.945 0.121
Dy: 0.842 0.685 0.958
Dy: 0.158 0.315 0.458
Pm: 0.186 0.373 0.750
Pm: 0.814 0.627 0.250
Ho: 0.521 0.041 0.750
Ho: 0.856 0.712 0.681
Ho: 0.500 0.000 0.000
Ho: 0.144 0.288 0.181
Ho: 0.189 0.377 0.897
Ho: 0.811 0.623 0.397
Ho: 0.479 0.959 0.250
Ho: 0.811 0.623 0.103
Ho: 0.144 0.288 0.319
Ho: 0.856 0.712 0.819
Ho: 0.189 0.377 0.603
Ho: 0.500 0.000 0.500

## Properties
Calculated volume in Å³/cell: 698
Density of states at the Fermi level in states/eV/f.u.: 19.77
SG: Cmcm


According to the calculations, the structures order from most to least stable as two, one.


## one
Pm4DyHo5 | GGA-PBE | optimized geometry

a = 5.933 Å, b = 8.092 Å, c = 8.092 Å
α = 82.27°, β = 68.49°, γ = 68.49°
Fractional coordinates of all 10 atoms:
Pm: 0.128 0.324 0.324
Pm: 0.776 0.676 0.676
Pm: 0.452 0.676 0.324
Pm: 0.452 0.324 0.676
Ho: 0.761 0.378 0.000
Ho: 0.761 0.000 0.378
Ho: 0.139 0.622 0.000
Ho: 0.688 0.000 0.000
Ho: 0.139 0.000 0.622
Dy: 0.213 0.000 0.000

## Properties
Calculated volume in Å³/cell: 336
Density of states at the Fermi level in states/eV/f.u.: 12.93
SG: I4mm


## two
Pm4DyHo5 | GGA-PBE | optimized geometry

a = 3.527 Å, b = 11.169 Å, c = 8.758 Å
α = 90.02°, β = 101.58°, γ = 90.01°
Fractional coordinates of all 10 atoms:
Pm: 0.654 0.250 0.311
Pm: 0.969 0.250 0.938
Pm: 0.031 0.750 0.062
Pm: 0.346 0.750 0.689
Dy: 0.500 0.000 0.000
Ho: 0.827 0.051 0.653
Ho: 0.173 0.949 0.347
Ho: 0.827 0.449 0.653
Ho: 0.173 0.551 0.347
Ho: 0.500 0.500 0.000

## Properties
Calculated volume in Å³/cell: 338
Density of states at the Fermi level in states/eV/f.u.: 13.52
SG: C2/m


According to the calculations, the structures order from most to least stable as two, one.